No. 1
Compound: ZrCuMoPb
Source: the Open Quantum Materials Database
Functional: PBE-GGA
Structure: optimized geometry

Cell and atoms, written as POSCAR:
```
ZrCuMoPb
1.0
4.551 -0.536 1.217
1.801 2.502 3.602
1.128 -2.168 4.062
Cu Mo Pb Zr
1 1 1 1
Direct
0.750 0.750 0.750
0.250 0.250 0.250
0.000 0.000 0.000
0.500 0.500 0.500
```

## Properties
The polymorph energy (0 for the lowest one) comes out at 0.0 meV per atom.

No. 2
Compound: Ta4SnSbC2
Source: the Open Quantum Materials Database
Functional: PBE-GGA
Structure: optimized geometry

Cell and atoms, written as POSCAR:
```
Ta4SnSbC2
1.0
3.304 0.000 0.000
-1.652 2.861 0.000
0.000 0.000 13.490
C Sb Sn Ta
2 1 1 4
Direct
0.667 0.333 0.247
0.667 0.333 0.753
0.000 0.000 0.000
0.333 0.667 0.500
0.333 0.667 0.164
0.000 0.000 0.330
0.000 0.000 0.670
0.333 0.667 0.836
```

No. 3
Compound: SmNiAg
Source: the Open Quantum Materials Database
Functional: PBE-GGA
Structure: optimized geometry

Cell and atoms, written as POSCAR:
```
SmNiAg
1.0
4.737 -0.226 -0.002
2.320 -1.174 3.967
2.174 -4.203 0.321
Ag Ni Sm
1 1 1
Direct
0.250 0.250 0.250
0.750 0.750 0.750
0.000 0.000 0.000
```

## Properties
The formation energy comes out at 0.34 eV per atom.

Number 1: electronic total energy -6.31 eV/atom. Number 2: electronic total energy -9.57 eV/atom. Number 3: electronic total energy -4.03 eV/atom.